No. 1
# AcZn2Hg

A relaxed AcZn2Hg crystal (PBE, Alexandria).

Lattice parameters (Å, degrees): 7.273 7.273 7.273 90.00 90.00 90.00
Space group Fm-3m (No. 225)
Symmetry-distinct sites (fractional):
Ac1 0.000 0.000 0.000 (multiplicity 4)
Zn1 0.250 0.250 0.250 (multiplicity 8)
Hg1 0.000 0.000 0.500 (multiplicity 4)

Values from the calculation:
Its energy above the lowest structure with this stoichiometry is 9.4 kJ/mol of atoms. As for the formation energy: -235 meV/atom.

***

No. 2
# HfPa2MoN6

A relaxed HfPa2MoN6 crystal (PBE, Alexandria).

Lattice parameters (Å, degrees): 5.6791 5.6791 14.2221 90.00 90.00 120.00
Space group R3 (No. 146, hexagonal axes)
Symmetry-distinct sites (fractional):
Hf1 0.0000 0.0000 0.0000 (multiplicity 3)
Pa1 0.0000 0.0000 0.2779 (multiplicity 3)
Pa2 0.0000 0.0000 0.7755 (multiplicity 3)
Mo1 0.0000 0.0000 0.4952 (multiplicity 3)
N1 0.0610 0.3466 0.5606 (multiplicity 9)
N2 0.0606 0.6992 0.0621 (multiplicity 9)

Values from the calculation:
Its formation energy (no corrections) is -1256 meV/atom.

***

No. 3
# Mg2CuAu2

A relaxed Mg2CuAu2 crystal (PBE, Alexandria).

Lattice parameters (Å, degrees): 7.437 7.437 3.298 90.00 90.00 90.00
Space group P4/mbm (No. 127)
Symmetry-distinct sites (fractional):
Mg1 0.149 0.351 0.000 (multiplicity 4)
Cu1 0.000 0.000 0.000 (multiplicity 2)
Au1 0.149 0.649 0.500 (multiplicity 4)

Values from the calculation:
Its energy above the lowest structure with this stoichiometry is 13.5 kJ/mol of atoms. As for the formation energy: -205 meV/atom.

***

No. 4
# AlSiHg

A relaxed AlSiHg crystal (PBE, Alexandria).

Lattice parameters (Å, degrees): 6.341 6.341 6.341 90.00 90.00 90.00
Space group F-43m (No. 216)
Symmetry-distinct sites (fractional):
Al1 0.000 0.000 0.000 (multiplicity 4)
Si1 0.250 0.250 0.250 (multiplicity 4)
Hg1 0.000 0.000 0.500 (multiplicity 4)

Values from the calculation:
Its energy above the lowest structure with this stoichiometry is 10.0 kJ/mol of atoms. Its formation energy (no corrections) is 334 meV/atom.

***

No. 5
# HgAs6

A relaxed HgAs6 crystal (PBE, Alexandria).

Lattice parameters (Å, degrees): 7.425 7.425 7.425 90.00 90.00 90.00
Space group Im-3m (No. 229)
Symmetry-distinct sites (fractional):
Hg1 0.000 0.000 0.000 (multiplicity 2)
As1 0.000 0.250 0.500 (multiplicity 12)

Values from the calculation:
As for the formation energy: 286 meV/atom.

***

No. 6
# TbSmZnAu

A relaxed TbSmZnAu crystal (PBE, Alexandria).

Lattice parameters (Å, degrees): 3.651 3.651 7.150 90.00 90.00 90.00
Space group P4mm (No. 99)
Symmetry-distinct sites (fractional):
Tb1 0.000 0.000 0.000 (multiplicity 1)
Sm1 0.000 0.000 0.504 (multiplicity 1)
Zn1 0.500 0.500 0.759 (multiplicity 1)
Au1 0.500 0.500 0.240 (multiplicity 1)

Values from the calculation:
Its energy above the lowest structure with this stoichiometry is 0.0 kJ/mol of atoms. As for the formation energy: -580 meV/atom.

***

No. 7
# TlInPt

A relaxed TlInPt crystal (PBE, Alexandria).

Lattice parameters (Å, degrees): 6.660 6.660 6.660 90.00 90.00 90.00
Space group F-43m (No. 216)
Symmetry-distinct sites (fractional):
Tl1 0.000 0.000 0.000 (multiplicity 4)
In1 0.250 0.250 0.750 (multiplicity 4)
Pt1 0.000 0.000 0.500 (multiplicity 4)

Values from the calculation:
Its energy above the lowest structure with this stoichiometry is 38.7 kJ/mol of atoms. As for the formation energy: 152 meV/atom.

***

No. 8
# MgScCd14

A relaxed MgScCd14 crystal (PBE, Alexandria).

Lattice parameters (Å, degrees): 6.427 6.427 8.610 90.00 90.00 90.00
Space group P4/mmm (No. 123)
Symmetry-distinct sites (fractional):
Mg1 0.000 0.000 0.000 (multiplicity 1)
Sc1 0.500 0.500 0.000 (multiplicity 1)
Cd1 0.000 0.000 0.500 (multiplicity 1)
Cd2 0.000 0.500 0.000 (multiplicity 2)
Cd3 0.000 0.500 0.500 (multiplicity 2)
Cd4 0.251 0.251 0.249 (multiplicity 8)
Cd5 0.500 0.500 0.500 (multiplicity 1)

Values from the calculation:
As for the formation energy: -60 meV/atom.

***

No. 9
# Pr2NbVN5

A relaxed Pr2NbVN5 crystal (PBE, Alexandria).

Lattice parameters (Å, degrees): 3.346 14.159 10.406 90.00 90.00 90.00
Space group Cmc2_1 (No. 36)
Symmetry-distinct sites (fractional):
Pr1 0.000 0.114 0.000 (multiplicity 4)
Pr2 0.000 0.137 0.633 (multiplicity 4)
Nb1 0.000 0.211 0.343 (multiplicity 4)
V1 0.000 0.451 0.758 (multiplicity 4)
N1 0.000 0.040 0.340 (multiplicity 4)
N2 0.000 0.293 0.974 (multiplicity 4)
N3 0.000 0.324 0.702 (multiplicity 4)
N4 0.000 0.346 0.323 (multiplicity 4)
N5 0.000 0.496 0.106 (multiplicity 4)

Values from the calculation:
Its formation energy (no corrections) is -1145 meV/atom.

***

No. 10
# TaMn2Cr

A relaxed TaMn2Cr crystal (PBE, Alexandria).

Lattice parameters (Å, degrees): 2.941 2.941 5.939 90.00 90.00 90.00
Space group P4/mmm (No. 123)
Symmetry-distinct sites (fractional):
Ta1 0.000 0.000 0.000 (multiplicity 1)
Mn1 0.500 0.500 0.269 (multiplicity 2)
Cr1 0.000 0.000 0.500 (multiplicity 1)

Values from the calculation:
As for the formation energy: 1 meV/atom.

***

No. 11
# Bi2Te3Pb

A relaxed Bi2Te3Pb crystal (PBE, Alexandria).

Lattice parameters (Å, degrees): 8.691 15.553 6.655 90.00 90.00 90.00
Space group Cmcm (No. 63)
Symmetry-distinct sites (fractional):
Bi1 0.176 0.000 0.000 (multiplicity 8)
Te1 0.000 0.165 0.250 (multiplicity 4)
Te2 0.216 0.330 0.250 (multiplicity 8)
Pb1 0.000 0.287 0.750 (multiplicity 4)

Values from the calculation:
Its formation energy (no corrections) is 59 meV/atom.

***

No. 12
# LaTmCdBi

A relaxed LaTmCdBi crystal (PBE, Alexandria).

Lattice parameters (Å, degrees): 7.768 7.768 7.768 90.00 90.00 90.00
Space group F-43m (No. 216)
Symmetry-distinct sites (fractional):
La1 0.000 0.000 0.000 (multiplicity 4)
Tm1 0.000 0.000 0.500 (multiplicity 4)
Cd1 0.250 0.250 0.250 (multiplicity 4)
Bi1 0.250 0.250 0.750 (multiplicity 4)

Values from the calculation:
As for the formation energy: -448 meV/atom.